First-principles (PBE) data for a relaxed Ho4ScSb2 crystal, as listed in Alexandria.

Properties
Final energy (eV for the cell shown): -72.5
Formation energy (no corrections) (eV/atom): -0.484
SG: P1 (1)
N(E_F) (states/eV/atom): 1.184

Unit cell a=7.353 b=7.357 c=9.015 alpha=106.60 beta=106.59 gamma=107.44
Element x y z (fractional)
Ho: 0.000 0.000 0.000
Ho: 0.017 0.034 0.646
Ho: 0.062 0.578 0.735
Ho: 0.335 0.831 0.504
Ho: 0.488 0.506 0.233
Ho: 0.523 0.519 0.877
Ho: 0.691 0.190 0.379
Ho: 0.946 0.463 0.147
Sc: 0.213 0.309 0.439
Sc: 0.464 0.060 0.941
Sb: 0.313 0.788 0.113
Sb: 0.660 0.630 0.610
Sb: 0.739 0.210 0.769
Sb: 0.891 0.864 0.268


First-principles (PBE) data for a relaxed AcPrGa crystal, as listed in Alexandria.

Properties
Formation enthalpy at 0 K (kJ/mol of formula units): -98
Energy relative to the lowest polymorph listed for this composition (meV/atom): 0
Final energy (eV for the cell shown): -25.9
SG: P4/nmm (129)
N(E_F) (states/eV/atom): 1.282

Unit cell a=4.881 b=4.881 c=8.247 alpha=90.00 beta=90.00 gamma=90.00
Element x y z (fractional)
Ac: 0.250 0.250 0.138
Ac: 0.750 0.750 0.862
Pr: 0.250 0.750 0.500
Pr: 0.750 0.250 0.500
Ga: 0.250 0.250 0.751
Ga: 0.750 0.750 0.249


First-principles (PBE) data for a relaxed VIBr crystal, as listed in Alexandria.

Properties
Energy relative to the lowest polymorph listed for this composition (meV/atom): 212
Final energy (eV for the cell shown): -27.1
Formation energy (no corrections) (eV/atom): -0.408
SG: C2/m (12)
N(E_F) (states/eV/atom): 0.526

Unit cell a=7.417 b=7.417 c=10.344 alpha=131.30 beta=131.30 gamma=27.32
Element x y z (fractional)
V: 0.208 0.208 0.373
V: 0.792 0.792 0.627
I: 0.452 0.452 0.670
I: 0.548 0.548 0.330
Br: 0.266 0.266 0.788
Br: 0.734 0.734 0.212